Entry 1:
First-principles (GGA-PBE) data for a relaxed Tb4PrNd2Mg crystal, as listed in the Alexandria database.

Results
- density of states at the Fermi level (states/eV/cell) = 11.67
- final energy (eV per cell) = -34.23
- crystal system = orthorhombic
- E_form (kJ per mole of atoms) = 2.5
- ρ (kg/m³) = 6996

Lattice parameters (Å, degrees): 5.0092 5.0240 10.2743 90.00 90.00 90.00
Space group Pmmm (No. 47)
Inequivalent atoms, fractional coordinates:
1 Tb 0.0000 0.0000 0.2458 x2
2 Tb 0.5000 0.5000 0.2459 x2
3 Pr 0.0000 0.5000 0.5000 x1
4 Nd 0.0000 0.5000 0.0000 x1
5 Nd 0.5000 0.0000 0.5000 x1
6 Mg 0.5000 0.0000 0.0000 x1

=====

Entry 2:
First-principles (GGA-PBE) data for a relaxed Tb2PrNd6Mg crystal, as listed in the Alexandria database.

Results
- density of states at the Fermi level (states/eV/cell) = 53.90
- final energy (eV per cell) = -172.91
- crystal system = monoclinic
- E_form (kJ per mole of atoms) = 9.8
- ρ (kg/m³) = 6606

Lattice parameters (Å, degrees): 10.4370 13.8264 9.5700 90.00 100.96 90.00
Space group C2/c (No. 15)
Inequivalent atoms, fractional coordinates:
1 Tb 0.2357 0.0332 0.0942 x8
2 Pr 0.0000 0.0644 0.7500 x4
3 Nd 0.0535 0.3820 0.5957 x8
4 Nd 0.0927 0.1712 0.4254 x8
5 Nd 0.2483 0.2149 0.8288 x8
6 Mg 0.0000 0.4014 0.2500 x4

=====

Entry 3:
First-principles (GGA-PBE) data for a relaxed Tb2Pr6Nd2Mg crystal, as listed in the Alexandria database.

Results
- density of states at the Fermi level (states/eV/cell) = 39.06
- final energy (eV per cell) = -95.87
- crystal system = monoclinic
- E_form (kJ per mole of atoms) = 10.0
- ρ (kg/m³) = 6285

Lattice parameters (Å, degrees): 5.7395 17.8162 7.6278 90.00 90.05 90.00
Space group C2/m (No. 12)
Inequivalent atoms, fractional coordinates:
1 Tb 0.0000 0.1829 0.0000 x4
2 Pr 0.9997 0.0000 0.2488 x4
3 Pr 0.0007 0.3619 0.7384 x8
4 Nd 0.0000 0.1882 0.5000 x4
5 Mg 0.0000 0.5000 0.0000 x2

=====

Entry 4:
First-principles (GGA-PBE) data for a relaxed Tb2Pr2Nd2Mg crystal, as listed in the Alexandria database.

Results
- density of states at the Fermi level (states/eV/cell) = 20.92
- final energy (eV per cell) = -58.72
- crystal system = monoclinic
- E_form (kJ per mole of atoms) = 8.2
- ρ (kg/m³) = 6491

Lattice parameters (Å, degrees): 11.8545 3.5453 11.9466 90.00 111.60 90.00
Space group C2/m (No. 12)
Inequivalent atoms, fractional coordinates:
1 Tb 0.1677 0.0000 0.0822 x4
2 Pr 0.0509 0.0000 0.7651 x4
3 Nd 0.2344 0.5000 0.3614 x4
4 Mg 0.0000 0.5000 0.5000 x2